{"formula": "PuNbIn", "functional": "PBE-GGA", "state": "relaxed", "lattice_angstrom": [[-1.498, 1.498, 7.341], [1.498, -1.498, 7.341], [1.498, 1.498, -7.341]], "species": ["Pu", "Nb", "In"], "fractional_positions": [[0.000, 0.000, 0.000], [0.664, 0.664, 0.000], [0.319, 0.319, 0.000]], "space_group": "I4mm", "vol_a3_per_fu": 65.9, "e_above_lowest_polymorph_mev_per_atom": 10}